VASP calculation (meta-GGA SCAN) on a crystal of LaSc2Al2 relaxed with PBEsol.

**Total moment**: 0.000 μB per cell
**SG**: I4/mmm (139)
**Crystal system**: tetragonal
**ΔH_f (0 K)**: -314 meV/atom

Geometry as POSCAR:
```
LaSc2Al2
1.0
4.4160 0.0000 0.0000
0.0000 4.4160 0.0000
-2.2080 -2.2080 6.3244
Al La Sc
2 1 2
Direct
0.3987 0.3987 0.7974
0.6013 0.6013 0.2026
0.0000 0.0000 0.0000
0.7500 0.2500 0.5000
0.2500 0.7500 0.5000
```